Entry 1:
VASP calculation (PBE-GGA) on a geometry-optimized Zr2Al2Ga3 structure.

Results
Total energy (eV per atom): -5.061
Energy relative to the lowest polymorph listed for this composition (eV/f.u.): 0.000
Volume (A^3/atom): 19.0
Energy of formation (kJ per mole of atoms): -24.3

Cell: 7.0114 7.0114 7.0114 Å, 109.47 109.47 109.47°
Fractional coordinates of all 14 atoms:
Zr 0.0000 0.0103 0.5000
Zr 0.0103 0.5000 0.0000
Zr 0.4897 0.4897 0.4897
Zr 0.5000 0.0000 0.0103
Al 0.0000 0.6265 0.5000
Al 0.5000 0.0000 0.6265
Al 0.6265 0.5000 0.0000
Al 0.8735 0.8735 0.8735
Ga 0.2415 0.9915 0.2500
Ga 0.2500 0.2415 0.9915
Ga 0.2585 0.5085 0.7500
Ga 0.5085 0.7500 0.2585
Ga 0.7500 0.2585 0.5085
Ga 0.9915 0.2500 0.2415

Entry 2:
VASP calculation (PBE-GGA) on a geometry-optimized AcTc2Sn8 structure.

Results
Total energy (eV per atom): -5.021
Volume (A^3/atom): 31.6
Energy of formation (kJ per mole of atoms): 14.3

Cell: 6.5373 6.5373 8.1382 Å, 90.00 90.00 90.00°
Fractional coordinates of all 11 atoms:
Ac 0.0000 0.0000 0.0000
Tc 0.0000 0.5000 0.5000
Tc 0.5000 0.0000 0.5000
Sn 0.2564 0.2564 0.3077
Sn 0.2564 0.2564 0.6923
Sn 0.2564 0.7436 0.3077
Sn 0.2564 0.7436 0.6923
Sn 0.7436 0.2564 0.3077
Sn 0.7436 0.2564 0.6923
Sn 0.7436 0.7436 0.3077
Sn 0.7436 0.7436 0.6923

Entry 3:
VASP calculation (PBE-GGA) on a geometry-optimized Tb8SnS6 structure.

Results
Total energy (eV per atom): -5.960
Volume (A^3/atom): 24.0

Cell: 10.2591 10.2591 3.9490 Å, 90.00 90.00 120.00°
Fractional coordinates of all 15 atoms:
Tb 0.0347 0.6985 0.2522
Tb 0.3015 0.3362 0.2522
Tb 0.3333 0.6667 0.7486
Tb 0.3362 0.0347 0.7478
Tb 0.6638 0.9653 0.2522
Tb 0.6667 0.3333 0.2514
Tb 0.6985 0.6638 0.7478
Tb 0.9653 0.3015 0.7478
Sn 0.0000 0.0000 0.5000
S 0.1366 0.4830 0.2497
S 0.3464 0.8634 0.2497
S 0.4830 0.3464 0.7503
S 0.5170 0.6536 0.2497
S 0.6536 0.1366 0.7503
S 0.8634 0.5170 0.7503